(1)
First-principles (meta-GGA SCAN) data for Al4InRe at its PBEsol-relaxed geometry, as listed in the Alexandria database.

Geometry as POSCAR:
```
Al4InRe
1.0
0.0000 3.6107 3.6107
3.6107 0.0000 3.6107
3.6107 3.6107 0.0000
Al In Re
4 1 1
direct
0.1231 0.1231 0.1231 Al
0.1231 0.1231 0.6306 Al
0.1231 0.6306 0.1231 Al
0.6306 0.1231 0.1231 Al
0.5000 0.5000 0.5000 In
0.7500 0.7500 0.7500 Re
```

## Properties
Crystal system: cubic
Calculated volume: 94.1 Å³/cell
Raw total energy: -22.41 eV per atom

(2)
First-principles (meta-GGA SCAN) data for Al2InRe at its PBEsol-relaxed geometry, as listed in the Alexandria database.

Geometry as POSCAR:
```
Al2InRe
1.0
6.3857 0.0000 0.0000
0.0000 6.3857 0.0000
0.0000 0.0000 6.3857
Al In Re
8 4 4
direct
0.0000 0.0000 0.0000 Al
0.0000 0.5000 0.5000 Al
0.2500 0.2500 0.2500 Al
0.2500 0.7500 0.7500 Al
0.5000 0.0000 0.5000 Al
0.5000 0.5000 0.0000 Al
0.7500 0.2500 0.7500 Al
0.7500 0.7500 0.2500 Al
0.2500 0.2500 0.7500 In
0.2500 0.7500 0.2500 In
0.7500 0.2500 0.2500 In
0.7500 0.7500 0.7500 In
0.0000 0.0000 0.5000 Re
0.0000 0.5000 0.0000 Re
0.5000 0.0000 0.0000 Re
0.5000 0.5000 0.5000 Re
```

## Properties
Crystal system: cubic
Calculated volume: 260.4 Å³/cell
Raw total energy: -29.60 eV per atom